This record from the Alexandria database describes a geometry-optimized Te2OsSe structure. The functional is PBEsol.

```
Te2OsSe
1.0
3.9392 0.0000 0.0000
1.9696 3.4115 0.0000
1.9696 1.1372 7.9857
Te Os Se
2 1 1
direct
0.8893 0.8893 0.3320
0.1107 0.1107 0.6680
0.5000 0.5000 0.5000
0.0000 0.0000 0.0000
```

Summary:
Energy relative to the elements, uncorrected ... 293 meV per atom
Space group ... R-3m, No. 166